Entry from Alexandria: a relaxed structure of BaNdNi4O12 (GGA+U).

Results
Magnetization, μB/atom: 0.64
Fermi-level density of states, states/eV per atom: 0.75
E_tot, hartree per atom: -0.1834

Cell lengths 5.476, 5.476, 7.721 Å; angles 90.00, 90.00, 90.00 degrees
Fractional positions:
Ba 0.000 0.000 0.000
Nd 0.500 0.500 0.500
Ni 0.000 0.500 0.251
Ni 0.000 0.500 0.749
Ni 0.500 0.000 0.251
Ni 0.500 0.000 0.749
O 0.000 0.500 0.000
O 0.000 0.500 0.500
O 0.264 0.264 0.268
O 0.264 0.264 0.732
O 0.264 0.736 0.268
O 0.264 0.736 0.732
O 0.500 0.000 0.000
O 0.500 0.000 0.500
O 0.736 0.264 0.268
O 0.736 0.264 0.732
O 0.736 0.736 0.268
O 0.736 0.736 0.732